A plane-wave DFT calculation with PBE was carried out for a relaxed BiPd8Au2 crystal.

Output
Total energy in eV/atom: -4.70
Energy of formation from the pure elements in eV per atom: 0.0299
ΔE to the lowest computed polymorph in meV per atom: 29.3
Space-group type: C2/m (12)

Lattice parameters (Å, degrees): 6.753 6.753 4.446 90.08 90.08 105.37
Fractional coordinates of all 11 atoms:
Bi 0.000 0.000 0.000
Pd 0.035 0.304 0.500
Pd 0.245 0.755 0.000
Pd 0.304 0.035 0.500
Pd 0.332 0.332 0.000
Pd 0.668 0.668 0.000
Pd 0.696 0.965 0.500
Pd 0.755 0.245 0.000
Pd 0.965 0.696 0.500
Au 0.376 0.624 0.500
Au 0.624 0.376 0.500